Entry from Alexandria: a geometry-optimized SbRh4W structure (PBE).

```
SbRh4W
1.0
0.000 3.642 3.642
3.642 0.000 3.642
3.642 3.642 0.000
W Rh Sb
1 4 1
Direct
0.000 0.000 0.000
0.374 0.374 0.877
0.374 0.374 0.374
0.877 0.374 0.374
0.374 0.877 0.374
0.750 0.750 0.750
```

Summary:
formation energy from raw total energies = 330 meV/atom
SG = F-43m (216)



Entry from Alexandria: a geometry-optimized Cr2PtW structure (PBE).

```
Cr2PtW
1.0
0.000 3.053 3.053
3.053 0.000 3.053
3.053 3.053 0.000
Cr Pt W
2 1 1
Direct
0.250 0.250 0.250
0.750 0.750 0.750
0.500 0.500 0.500
0.000 0.000 0.000
```

Summary:
SG = Fm-3m (225)
energy above the lowest structure with this stoichiometry = 70.0 meV/atom



| no. | size of the total moment (μB per cell) |
| --- | --- |
| 1 | 0.00 |
| 2 | 3.99 |